## Cu2NiHgI (GGA-PBEsol)

Data for a geometry-optimized Cu2NiHgI structure.

Output
The raw formation energy is 0.981 eV/atom. As for the space group: P4/mmm, No. 123.

Cell: 4.578 4.896 4.896 Å, 90.00 90.00 90.00°
Sites, in units of the cell vectors:
Ni (0.500, 0.000, 0.000)
Hg (0.500, 0.500, 0.500)
I (0.000, 0.000, 0.000)
Cu (0.000, 0.000, 0.500)
Cu (0.000, 0.500, 0.000)

---

## SrWAu (GGA-PBEsol)

Data for a geometry-optimized SrWAu structure.

Output
The energy of formation from the pure elements is 0.866 eV per atom. As for the space group: P-6m2, No. 187.

Cell: 2.972 4.908 4.908 Å, 120.00 90.00 90.00°
Sites, in units of the cell vectors:
W (0.500, 0.333, 0.667)
Sr (0.000, 0.667, 0.333)
Au (0.500, 0.000, 0.000)

---

## AlZn (GGA-PBEsol)

Data for a geometry-optimized AlZn structure.

Output
The energy of formation from the pure elements is 0.008 eV per atom. As for the space group: P4/nmm, No. 129.

Cell: 2.791 2.791 7.778 Å, 90.00 90.00 90.00°
Sites, in units of the cell vectors:
Zn (0.000, 0.500, 0.382)
Al (0.000, 0.500, 0.867)
Zn (0.500, 0.000, 0.618)
Al (0.500, 0.000, 0.133)

---

## Ce3Pt2 (GGA-PBEsol)

Data for a geometry-optimized Ce3Pt2 structure.

Output
The energy of formation from the pure elements is -0.714 eV per atom. As for the space group: R-3, No. 148.

Cell: 7.435 7.435 7.435 Å, 71.78 71.78 71.78°
Sites, in units of the cell vectors:
Ce (0.395, 0.656, 0.164)
Pt (0.593, 0.950, 0.161)
Pt (0.161, 0.593, 0.950)
Pt (0.839, 0.407, 0.050)
Ce (0.164, 0.395, 0.656)
Ce (0.605, 0.344, 0.836)
Pt (0.407, 0.050, 0.839)
Ce (0.836, 0.605, 0.344)
Ce (0.656, 0.164, 0.395)
Ce (0.344, 0.836, 0.605)
Ce (0.000, 0.000, 0.000)
Pt (0.050, 0.839, 0.407)
Ce (0.793, 0.793, 0.793)
Pt (0.950, 0.161, 0.593)
Ce (0.207, 0.207, 0.207)

---

## SrAs2Se (GGA-PBEsol)

Data for a geometry-optimized SrAs2Se structure.

Output
The raw formation energy is -0.589 eV/atom. As for the space group: Cm, No. 8.

Cell: 3.809 5.332 5.582 Å, 118.43 109.95 90.00°
Sites, in units of the cell vectors:
Sr (0.259, 0.759, 0.518)
As (0.043, 0.044, 0.085)
As (0.730, 0.230, 0.461)
Se (0.468, 0.467, 0.936)

---

## SrTl2Cd (GGA-PBEsol)

Data for a geometry-optimized SrTl2Cd structure.

Output
The energy of formation from the pure elements is -0.193 eV per atom. As for the space group: Pm, No. 6.

Cell: 3.741 5.098 6.136 Å, 90.00 98.16 90.00°
Sites, in units of the cell vectors:
Tl (0.973, 0.000, 0.034)
Sr (0.225, 0.500, 0.723)
Tl (0.637, 0.500, 0.242)
Cd (0.664, 0.000, 0.501)

---

## ZrBe3Cu (GGA-PBEsol)

Data for a geometry-optimized ZrBe3Cu structure.

Output
The energy of formation from the pure elements is 0.155 eV per atom. As for the space group: Pm-3m, No. 221.

Cell: 3.970 3.970 3.970 Å, 90.00 90.00 90.00°
Sites, in units of the cell vectors:
Be (0.500, 0.000, 0.000)
Be (0.000, 0.500, 0.000)
Zr (0.500, 0.500, 0.500)
Cu (0.000, 0.000, 0.000)
Be (0.000, 0.000, 0.500)

---

## Tl3PbCl5 (GGA-PBEsol)

Data for a geometry-optimized Tl3PbCl5 structure.

Output
The raw formation energy is -1.006 eV/atom. As for the space group: P2_12_12_1, No. 19.

Cell: 8.097 8.516 14.525 Å, 90.00 90.00 90.00°
Sites, in units of the cell vectors:
Pb (0.071, 0.034, 0.206)
Tl (0.936, 0.092, 0.789)
Cl (0.223, 0.709, 0.226)
Cl (0.745, 0.660, 0.152)
Tl (0.436, 0.408, 0.211)
Tl (0.586, 0.833, 0.981)
Cl (0.419, 0.650, 0.634)
Tl (0.775, 0.705, 0.552)
Cl (0.755, 0.340, 0.652)
Cl (0.892, 0.445, 0.888)
Cl (0.581, 0.150, 0.866)
Cl (0.919, 0.850, 0.366)
Tl (0.914, 0.167, 0.481)
Tl (0.725, 0.295, 0.052)
Tl (0.275, 0.795, 0.448)
Cl (0.723, 0.791, 0.774)
Pb (0.429, 0.966, 0.706)
Cl (0.608, 0.555, 0.388)
Tl (0.064, 0.592, 0.711)
Cl (0.081, 0.350, 0.134)
Cl (0.277, 0.291, 0.726)
Cl (0.392, 0.055, 0.112)
Cl (0.423, 0.501, 0.981)
Pb (0.571, 0.466, 0.794)
Cl (0.255, 0.160, 0.348)
Tl (0.225, 0.205, 0.948)
Cl (0.245, 0.840, 0.848)
Cl (0.108, 0.945, 0.612)
Cl (0.923, 0.999, 0.019)
Tl (0.564, 0.908, 0.289)
Pb (0.929, 0.534, 0.294)
Tl (0.414, 0.333, 0.519)
Cl (0.777, 0.209, 0.274)
Tl (0.086, 0.667, 0.019)
Cl (0.077, 0.499, 0.481)
Cl (0.577, 0.001, 0.519)

---

## LiPt2Se2 (GGA-PBEsol)

Data for a geometry-optimized LiPt2Se2 structure.

Output
The raw formation energy is -0.157 eV/atom. As for the space group: I4/mmm, No. 139.

Cell: 3.858 3.858 6.799 Å, 106.48 106.48 90.00°
Sites, in units of the cell vectors:
Li (0.000, 0.000, 0.000)
Pt (0.750, 0.250, 0.500)
Pt (0.250, 0.750, 0.500)
Se (0.608, 0.608, 0.216)
Se (0.392, 0.392, 0.784)

---

## MgCu2Br (GGA-PBEsol)

Data for a geometry-optimized MgCu2Br structure.

Output
The raw formation energy is 0.159 eV/atom. As for the space group: C2/m, No. 12.

Cell: 3.268 4.018 5.841 Å, 109.96 106.06 90.52°
Sites, in units of the cell vectors:
Mg (0.000, 0.000, 0.000)
Br (0.500, 0.500, 0.000)
Cu (0.500, 0.500, 0.500)
Cu (0.000, 0.000, 0.500)

---

## Tb2BiO2 (GGA-PBEsol)

Data for a geometry-optimized Tb2BiO2 structure.

Output
The raw formation energy is -2.747 eV/atom. As for the space group: I4/mmm, No. 139.

Cell: 3.848 3.848 7.231 Å, 105.43 105.43 90.00°
Sites, in units of the cell vectors:
Tb (0.667, 0.667, 0.334)
Tb (0.333, 0.333, 0.666)
O (0.750, 0.250, 0.500)
Bi (0.000, 0.000, 0.000)
O (0.250, 0.750, 0.500)

---

## NaYFeMo2 (GGA-PBEsol)

Data for a geometry-optimized NaYFeMo2 structure.

Output
The energy of formation from the pure elements is 2.083 eV per atom. As for the space group: P4/mmm, No. 123.

Cell: 4.326 4.720 4.720 Å, 90.00 90.00 90.00°
Sites, in units of the cell vectors:
Y (0.500, 0.500, 0.500)
Mo (0.000, 0.000, 0.500)
Na (0.000, 0.000, 0.000)
Fe (0.500, 0.000, 0.000)
Mo (0.000, 0.500, 0.000)